{"formula": "KWO3", "functional": "PBE with a Hubbard U", "state": "optimized geometry", "lattice": [[7.2197, 0.0000, 0.0000], [0.0000, 5.1750, 0.0000], [-0.9921, 0.0000, 7.6740]], "species": ["K", "K", "K", "K", "W", "W", "W", "W", "O", "O", "O", "O", "O", "O", "O", "O", "O", "O", "O", "O"], "frac_coords": [[0.1057, 0.1835, 0.1845], [0.1057, 0.3165, 0.6845], [0.8943, 0.6835, 0.3155], [0.8943, 0.8165, 0.8155], [0.4294, 0.7249, 0.0560], [0.4294, 0.7751, 0.5560], [0.5706, 0.2249, 0.4440], [0.5706, 0.2751, 0.9440], [0.1843, 0.6496, 0.0719], [0.1843, 0.8504, 0.5719], [0.3367, 0.0792, 0.9479], [0.3367, 0.4208, 0.4479], [0.4398, 0.5852, 0.8088], [0.4398, 0.9148, 0.3088], [0.5602, 0.0852, 0.6912], [0.5602, 0.4148, 0.1912], [0.6633, 0.5792, 0.5521], [0.6633, 0.9208, 0.0521], [0.8157, 0.1496, 0.4281], [0.8157, 0.3504, 0.9281]], "spacegroup": "P2_1/c, No. 14", "energy_ev_per_atom": -6.546}